BaBe5: single point on PBEsol structure, SCAN.

Calculated values
For the density of states at the Fermi level, the calculation gives 0.368 states/eV/atom. As for the formation energy from the elements: 0.50 eV per atom. The total DFT energy (no corrections) comes out at -58.34 eV for the cell shown.

Lattice parameters (Å, degrees): 3.7308 5.0986 5.0986 120.00 90.00 90.00
Last column: nearest neighbours and their distance in Å.
Fractional positions:
Be: 0.0000 0.3333 0.6667  6 Be 2.38
Be: 0.5000 0.0000 0.5000  8 Be 2.38-2.55
Be: 0.5000 0.5000 0.5000  8 Be 2.38-2.55
Be: 0.0000 0.6667 0.3333  6 Be 2.38
Be: 0.5000 0.5000 0.0000  8 Be 2.38-2.55
Ba: 0.0000 0.0000 0.0000  18 Be 2.94-3.16